This record from the Alexandria database describes a relaxed La2Y4Cd crystal. The functional is PBE.

a b c (Å): 9.6789 9.6789 9.6789
angles (deg): 146.78 146.78 47.68
Positions (direct):
La: 0.1332 0.1332 0.0000
La: 0.8668 0.8668 0.0000
Y: 0.0000 0.5000 0.5000
Y: 0.3326 0.3326 0.0000
Y: 0.5000 0.0000 0.5000
Y: 0.6674 0.6674 0.0000
Cd: 0.5000 0.5000 0.0000

Properties
The formation enthalpy at 0 K is 0.47 eV/atom. As for the space group: I4/mmm, No. 139. As for the total magnetization: 0.00 Bohr magnetons per cell.

---

This record from the Alexandria database describes a relaxed Er8Cd2Pt crystal. The functional is PBE.

a b c (Å): 9.2091 9.2091 6.8639
angles (deg): 107.78 107.78 32.98
Positions (direct):
Er: 0.0210 0.0210 0.2808
Er: 0.2013 0.2013 0.8002
Er: 0.3463 0.3463 0.5406
Er: 0.4090 0.4090 0.0671
Er: 0.5910 0.5910 0.9329
Er: 0.6537 0.6537 0.4594
Er: 0.7987 0.7987 0.1998
Er: 0.9790 0.9790 0.7192
Cd: 0.1828 0.1828 0.2154
Cd: 0.8172 0.8172 0.7846
Pt: 0.5000 0.5000 0.5000

Properties
The formation enthalpy at 0 K is -0.32 eV/atom. As for the space group: C2/m, No. 12. As for the total magnetization: 0.00 Bohr magnetons per cell.

---

This record from the Alexandria database describes a relaxed LaTl2P crystal. The functional is PBE.

a b c (Å): 8.7000 8.7000 8.7000
angles (deg): 26.49 26.49 26.49
Positions (direct):
La: 0.0000 0.0000 0.0000
Tl: 0.2309 0.2309 0.2309
Tl: 0.7691 0.7691 0.7691
P: 0.5000 0.5000 0.5000

Properties
The formation enthalpy at 0 K is 0.04 eV/atom. The value obtained for the energy above the most stable polymorph in this dataset is 568 meV/atom. As for the space group: R-3m, No. 166. As for the total magnetization: 0.69 Bohr magnetons per cell.

---

This record from the Alexandria database describes a relaxed La2HfTl3S6 crystal. The functional is PBE.

a b c (Å): 7.0580 7.0580 8.4792
angles (deg): 101.04 101.04 119.69
Positions (direct):
La: 0.1659 0.8341 0.0000
La: 0.8341 0.1659 0.0000
Hf: 0.5000 0.5000 0.0000
Tl: 0.0000 0.0000 0.5000
Tl: 0.3295 0.6705 0.5000
Tl: 0.6705 0.3295 0.5000
S: 0.1151 0.4164 0.8146
S: 0.2920 0.2920 0.1924
S: 0.4164 0.1151 0.8146
S: 0.5836 0.8849 0.1854
S: 0.7080 0.7080 0.8076
S: 0.8849 0.5836 0.1854

Properties
The formation energy from raw total energies is -1.350 eV/atom. As for the space group: C2/m, No. 12. As for the total magnetization: 0.00 Bohr magnetons per cell.

---

- Which value of total magnetization does entry 2 give?
  0.00 Bohr magnetons per cell

---

- Look up the total magnetization of the fourth one.
  0.00 Bohr magnetons per cell

---

- Which formula does entry 3 have?
  LaTl2P